DFT (PBE with a Hubbard U) results for a geometry-optimized MnSnI2O structure.

Summary:
Its energy relative to the lowest polymorph listed for this composition is 0.281 eV per atom.

The structure in extended XYZ format:
```
5
Lattice="6.217 0.000 0.000 0.000 6.217 0.000 0.000 0.000 4.077" Properties=species:S:1:pos:R:3 pbc="T T T"
I 0.000 3.108 0.000
I 3.108 0.000 0.000
Mn 3.108 3.108 2.039
Sn 0.000 0.000 0.000
O 0.000 0.000 2.039
```